Entry 1:
# LiB (GGA-PBEsol, relaxed)
# ΔE to the lowest computed polymorph = 79 meV per atom
# Space-group type = No. 74
data_LiB
_symmetry_space_group_name_H-M 'P 1'
_symmetry_Int_Tables_number 1
_cell_length_a 3.073
_cell_length_b 4.429
_cell_length_c 4.429
_cell_angle_alpha 78.58
_cell_angle_beta 69.70
_cell_angle_gamma 69.70
loop_
_symmetry_equiv_pos_as_xyz
'x,y,z'
loop_
_atom_site_label
_atom_site_type_symbol
_atom_site_fract_x
_atom_site_fract_y
_atom_site_fract_z
B1 B 0.750 0.472 0.028
Li1 Li 0.000 0.500 0.500
Li2 Li 0.500 0.000 0.000
B2 B 0.250 0.528 0.972

Entry 2:
# LiB (GGA-PBEsol, relaxed)
# ΔE to the lowest computed polymorph = 0 meV per atom
# Space-group type = No. 194
data_LiB
_symmetry_space_group_name_H-M 'P 1'
_symmetry_Int_Tables_number 1
_cell_length_a 3.113
_cell_length_b 3.974
_cell_length_c 3.974
_cell_angle_alpha 120.00
_cell_angle_beta 90.00
_cell_angle_gamma 90.00
loop_
_symmetry_equiv_pos_as_xyz
'x,y,z'
loop_
_atom_site_label
_atom_site_type_symbol
_atom_site_fract_x
_atom_site_fract_y
_atom_site_fract_z
Li1 Li 0.250 0.333 0.667
B1 B 0.000 0.000 0.000
Li2 Li 0.750 0.667 0.333
B2 B 0.500 0.000 0.000

Entry 3:
# LiB3 (GGA-PBEsol, relaxed)
# DFT total energy = -5.988 eV/atom
# Space-group type = No. 127
data_LiB3
_symmetry_space_group_name_H-M 'P 1'
_symmetry_Int_Tables_number 1
_cell_length_a 4.139
_cell_length_b 5.951
_cell_length_c 5.951
_cell_angle_alpha 90.00
_cell_angle_beta 90.00
_cell_angle_gamma 90.00
loop_
_symmetry_equiv_pos_as_xyz
'x,y,z'
loop_
_atom_site_label
_atom_site_type_symbol
_atom_site_fract_x
_atom_site_fract_y
_atom_site_fract_z
B1 B 0.294 0.000 0.000
B2 B 0.000 0.631 0.665
Li1 Li 0.500 0.820 0.680
B3 B 0.000 0.131 0.835
B4 B 0.000 0.869 0.165
Li2 Li 0.500 0.180 0.320
Li3 Li 0.500 0.320 0.820
B5 B 0.000 0.369 0.335
B6 B 0.706 0.000 0.000
B7 B 0.000 0.165 0.131
B8 B 0.000 0.335 0.631
B9 B 0.706 0.500 0.500
B10 B 0.294 0.500 0.500
B11 B 0.000 0.835 0.869
Li4 Li 0.500 0.680 0.180
B12 B 0.000 0.665 0.369